Record 1
# Pr3Dy2Y7 PBE relaxed
# - distance to the lowest polymorph of the same formula (eV/atom) = 0.000
# - calculated volume (Å³/atom) = 33.45
# - ΔH_f (0 K) (meV per atom) = 83
# - N(E_F) (states/eV/cell) = 15.63
data_Pr3Dy2Y7
_cell_length_a 5.889
_cell_length_b 3.600
_cell_length_c 18.960
_cell_angle_alpha 90.00
_cell_angle_beta 93.08
_cell_angle_gamma 90.00
_space_group_name_H-M_alt 'P 1 2/m 1'
_space_group_IT_number 10
_space_group_name_Hall '-P 2y'
loop_
_atom_site_label
_atom_site_type_symbol
_atom_site_fract_x
_atom_site_fract_y
_atom_site_fract_z
Pr1 Pr 0.000 0.000 0.000
Pr2 Pr 0.278 0.500 0.634
Dy1 Dy 0.211 0.000 0.292
Y1 Y 0.190 0.500 0.144
Y2 Y 0.243 0.000 0.462
Y3 Y 0.307 0.000 0.823
Y4 Y 0.500 0.500 0.000

Record 2
# PrDy3Y PBE relaxed
# - distance to the lowest polymorph of the same formula (eV/atom) = 0.000
# - calculated volume (Å³/atom) = 33.01
# - ΔH_f (0 K) (meV per atom) = 16
# - N(E_F) (states/eV/cell) = 17.01
data_PrDy3Y
_cell_length_a 6.328
_cell_length_b 5.714
_cell_length_c 9.658
_cell_angle_alpha 90.00
_cell_angle_beta 109.05
_cell_angle_gamma 90.00
_space_group_name_H-M_alt 'P 1 21/m 1'
_space_group_IT_number 11
_space_group_name_Hall '-P 2yb'
loop_
_atom_site_label
_atom_site_type_symbol
_atom_site_fract_x
_atom_site_fract_y
_atom_site_fract_z
Pr1 Pr 0.067 0.250 0.300
Dy1 Dy 0.133 0.750 0.098
Dy2 Dy 0.267 0.250 0.701
Dy3 Dy 0.336 0.750 0.500
Y1 Y 0.466 0.250 0.099

Record 3
# Pr4Dy9Y11 PBE relaxed
# - calculated volume (Å³/atom) = 32.88
# - ΔH_f (0 K) (meV per atom) = 61
# - N(E_F) (states/eV/cell) = 61.62
data_Pr4Dy9Y11
_cell_length_a 16.788
_cell_length_b 25.218
_cell_length_c 3.728
_cell_angle_alpha 90.00
_cell_angle_beta 90.00
_cell_angle_gamma 90.00
_space_group_name_H-M_alt 'C m m m'
_space_group_IT_number 65
_space_group_name_Hall '-C 2 2'
loop_
_atom_site_label
_atom_site_type_symbol
_atom_site_fract_x
_atom_site_fract_y
_atom_site_fract_z
Pr1 Pr 0.154 0.100 0.000
Dy1 Dy 0.000 0.000 0.000
Dy2 Dy 0.101 0.236 0.000
Dy3 Dy 0.139 0.427 0.000
Y1 Y 0.000 0.136 0.500
Y2 Y 0.000 0.341 0.500
Y3 Y 0.000 0.500 0.500
Y4 Y 0.214 0.000 0.500
Y5 Y 0.226 0.319 0.500